Record 1
Compound: Ac2ThSi3Pt12
Source: Alexandria
Functional: PBE-GGA
Structure: optimized geometry

Summary:
- SG: R-3m
- Uncorrected formation energy: -598.7 meV/atom
- DFT total energy: -6.3985 eV/atom

abc: 8.044 8.044 8.044
angles: 62.35 62.35 62.35
Atoms (fractional coordinates):
Ac 0.102 0.102 0.102
Ac 0.898 0.898 0.898
Th 0.500 0.500 0.500
Si 0.000 0.500 0.500
Si 0.500 0.000 0.500
Si 0.500 0.500 0.000
Pt 0.093 0.638 0.638
Pt 0.155 0.155 0.601
Pt 0.155 0.601 0.155
Pt 0.362 0.362 0.907
Pt 0.362 0.907 0.362
Pt 0.399 0.845 0.845
Pt 0.601 0.155 0.155
Pt 0.638 0.093 0.638
Pt 0.638 0.638 0.093
Pt 0.845 0.399 0.845
Pt 0.845 0.845 0.399
Pt 0.907 0.362 0.362

Record 2
Compound: RbSc3Nb
Source: Alexandria
Functional: PBE-GGA
Structure: optimized geometry

Summary:
- SG: Pm-3m
- Formation energy from the elements: 1.7160 eV/atom
- DFT total energy: -4.2904 eV/atom

abc: 4.944 4.944 4.944
angles: 90.00 90.00 90.00
Atoms (fractional coordinates):
Rb 0.000 0.000 0.000
Sc 0.000 0.000 0.500
Sc 0.000 0.500 0.000
Sc 0.500 0.000 0.000
Nb 0.500 0.500 0.500